The following is a PBE calculation of a relaxed structure of RuRh2W, from Alexandria via LeMat-Bulk.

Values from the calculation:
* energy of formation from the pure elements: 192 meV per atom
* space-group type: P4/mmm (123)
* crystal system: tetragonal

Cell: 3.302 3.302 5.456 Å, 90.00 90.00 90.00°
Sites, in units of the cell vectors:
Ru  0.000  0.000  0.000
Rh  0.500  0.500  0.250
Rh  0.500  0.500  0.750
W  0.000  0.000  0.500

=====

The following is a PBE calculation of a relaxed structure of Tl4GaHg15, from Alexandria via LeMat-Bulk.

Values from the calculation:
* energy of formation from the pure elements: -10 meV per atom
* space-group type: P2/m (10)
* crystal system: monoclinic

Cell: 5.188 4.145 25.750 Å, 90.00 94.54 90.00°
Sites, in units of the cell vectors:
Tl  0.010  0.000  0.398
Tl  0.031  0.000  0.191
Tl  0.969  0.000  0.809
Tl  0.990  0.000  0.602
Ga  0.000  0.000  0.000
Hg  0.000  0.500  0.500
Hg  0.012  0.500  0.088
Hg  0.015  0.500  0.295
Hg  0.468  0.500  0.805
Hg  0.485  0.000  0.704
Hg  0.489  0.500  0.603
Hg  0.490  0.000  0.904
Hg  0.500  0.000  0.500
Hg  0.500  0.500  0.000
Hg  0.510  0.000  0.096
Hg  0.511  0.500  0.397
Hg  0.515  0.000  0.296
Hg  0.532  0.500  0.195
Hg  0.985  0.500  0.705
Hg  0.988  0.500  0.912

=====

The following is a PBE calculation of a relaxed structure of AcY2Er6, from Alexandria via LeMat-Bulk.

Values from the calculation:
* energy of formation from the pure elements: 391 meV per atom
* space-group type: R3m (160)
* crystal system: trigonal

Cell: 9.267 9.267 9.267 Å, 43.32 43.32 43.32°
Sites, in units of the cell vectors:
Ac  0.000  0.000  0.000
Y  0.582  0.582  0.582
Y  0.758  0.758  0.758
Er  0.047  0.047  0.559
Er  0.047  0.559  0.047
Er  0.285  0.285  0.780
Er  0.285  0.780  0.285
Er  0.559  0.047  0.047
Er  0.780  0.285  0.285